SrSc3Cd, optimized geometry, DFT PBE-GGA; space group = No. 221; density of states at the Fermi level = 4.0 states/eV/cell; total moment = 0.00 μB per cell; ΔH_f (0 K) = 1.227 eV/atom; energy above the most stable polymorph in this dataset = 851.1 meV/atom; uncorrected energy = -3.091 eV/atom
1.0
5.2899 0.0000 0.0000
0.0000 5.2899 0.0000
0.0000 0.0000 5.2899
Sr Sc Cd
1 3 1
direct
0.0000 0.0000 0.0000
0.0000 0.0000 0.5000
0.0000 0.5000 0.0000
0.5000 0.0000 0.0000
0.5000 0.5000 0.5000